No. 1
MnCoH: optimized geometry, GGA-PBE.

CIF file:
```
data_MnCoH
_cell_length_a 11.0884
_cell_length_b 2.5404
_cell_length_c 7.0558
_cell_angle_alpha 90.00
_cell_angle_beta 90.00
_cell_angle_gamma 90.00
_space_group_name_H-M_alt 'P n m a'
_space_group_IT_number 62
loop_
_space_group_symop_operation_xyz
'x,y,z'
'-x,-y,-z'
'-x+1/2,-y,z+1/2'
'x+1/2,y,-z+1/2'
'x+1/2,-y+1/2,-z+1/2'
'-x+1/2,y+1/2,z+1/2'
'-x,y+1/2,-z'
'x,-y+1/2,z'
loop_
_atom_site_label
_atom_site_type_symbol
_atom_site_fract_x
_atom_site_fract_y
_atom_site_fract_z
_atom_site_occupancy
Mn1 Mn 0.0651 0.2500 0.2421 1
Mn2 Mn 0.1052 0.7500 0.9386 1
Co1 Co 0.0975 0.7500 0.5347 1
Co2 Co 0.2478 0.7500 0.2387 1
H1 H 0.0966 0.2500 0.7251 1
H2 H 0.2275 0.2500 0.0715 1
```

Values from the calculation:
Offset from the most stable computed form   0.50 eV/f.u.

No. 2
MgZnAs2O6: optimized geometry, GGA-PBE.

CIF file:
```
data_MgZnAs2O6
_cell_length_a 10.2832
_cell_length_b 8.9402
_cell_length_c 5.1056
_cell_angle_alpha 90.00
_cell_angle_beta 103.59
_cell_angle_gamma 90.00
_space_group_name_H-M_alt 'C 1 2/c 1'
_space_group_IT_number 15
loop_
_space_group_symop_operation_xyz
'x,y,z'
'-x,-y,-z'
'-x,y,-z+1/2'
'x,-y,z+1/2'
'x+1/2,y+1/2,z'
'-x+1/2,-y+1/2,-z'
'-x+1/2,y+1/2,-z+1/2'
'x+1/2,-y+1/2,z+1/2'
loop_
_atom_site_label
_atom_site_type_symbol
_atom_site_fract_x
_atom_site_fract_y
_atom_site_fract_z
_atom_site_occupancy
Mg1 Mg 0.0000 0.0905 0.2500 1
Zn1 Zn 0.0000 0.3215 0.7500 1
As1 As 0.2166 0.3694 0.3562 1
O1 O 0.1064 0.2605 0.1112 1
O2 O 0.1155 0.0852 0.6365 1
O3 O 0.1493 0.4538 0.6347 1
```

Values from the calculation:
Formation energy (no corrections)   -1.424 eV/atom

No. 3
Hf2NbC: optimized geometry, GGA-PBE.

CIF file:
```
data_Hf2NbC
_cell_length_a 3.1729
_cell_length_b 3.1729
_cell_length_c 24.6482
_cell_angle_alpha 90.00
_cell_angle_beta 90.00
_cell_angle_gamma 120.00
_space_group_name_H-M_alt 'R -3 m'
_space_group_IT_number 166
_space_group_name_Hall '-R 3 2"'
loop_
_atom_site_label
_atom_site_type_symbol
_atom_site_fract_x
_atom_site_fract_y
_atom_site_fract_z
_atom_site_occupancy
Hf1 Hf 0.0000 0.0000 0.1145 1
Nb1 Nb 0.0000 0.0000 0.0000 1
C1 C 0.0000 0.0000 0.5000 1
```

Values from the calculation:
DFT formation energy   -11 kJ/mol of atoms

No. 4
Cs3Sr4F12: optimized geometry, GGA-PBE.

CIF file:
```
data_Cs3Sr4F12
_cell_length_a 9.6559
_cell_length_b 9.6559
_cell_length_c 9.6559
_cell_angle_alpha 90.00
_cell_angle_beta 90.00
_cell_angle_gamma 90.00
_space_group_name_H-M_alt 'I m -3'
_space_group_IT_number 204
_space_group_name_Hall '-I 2 2 3'
loop_
_atom_site_label
_atom_site_type_symbol
_atom_site_fract_x
_atom_site_fract_y
_atom_site_fract_z
_atom_site_occupancy
Cs1 Cs 0.0000 0.0000 0.5000 1
Sr1 Sr 0.2500 0.2500 0.2500 1
F1 F 0.0000 0.2792 0.2449 1
```

Values from the calculation:
Formation energy (no corrections)   -3.299 eV/atom

No. 5
CoOsSe4: optimized geometry, GGA-PBE.

CIF file:
```
data_CoOsSe4
_cell_length_a 7.9327
_cell_length_b 7.9327
_cell_length_c 7.5784
_cell_angle_alpha 90.00
_cell_angle_beta 90.00
_cell_angle_gamma 90.00
_space_group_name_H-M_alt 'I 41 m d'
_space_group_IT_number 109
_space_group_name_Hall 'I 4bw -2'
loop_
_atom_site_label
_atom_site_type_symbol
_atom_site_fract_x
_atom_site_fract_y
_atom_site_fract_z
_atom_site_occupancy
Co1 Co 0.0000 0.0000 0.0000 1
Os1 Os 0.0000 0.0000 0.4996 1
Se1 Se 0.0000 0.1914 0.7550 1
Se2 Se 0.0000 0.1941 0.2423 1
```

Values from the calculation:
Formation energy (no corrections)   -0.022 eV/atom
Offset from the most stable computed form   1.17 eV/f.u.

No. 6
Cs2NaF4: optimized geometry, GGA-PBE.

CIF file:
```
data_Cs2NaF4
_cell_length_a 4.5267
_cell_length_b 4.5267
_cell_length_c 14.9542
_cell_angle_alpha 90.00
_cell_angle_beta 90.00
_cell_angle_gamma 90.00
_space_group_name_H-M_alt 'I 4/m m m'
_space_group_IT_number 139
_space_group_name_Hall '-I 4 2'
loop_
_atom_site_label
_atom_site_type_symbol
_atom_site_fract_x
_atom_site_fract_y
_atom_site_fract_z
_atom_site_occupancy
Cs1 Cs 0.0000 0.0000 0.1402 1
Na1 Na 0.0000 0.0000 0.5000 1
F1 F 0.0000 0.0000 0.3392 1
F2 F 0.0000 0.5000 0.0000 1
```

Values from the calculation:
Formation energy (no corrections)   -2.323 eV/atom

No. 7
FeIr3N: optimized geometry, GGA-PBE.

CIF file:
```
data_FeIr3N
_cell_length_a 4.0296
_cell_length_b 4.0296
_cell_length_c 4.0296
_cell_angle_alpha 90.00
_cell_angle_beta 90.00
_cell_angle_gamma 90.00
_space_group_name_H-M_alt 'P m -3 m'
_space_group_IT_number 221
_space_group_name_Hall '-P 4 2 3'
loop_
_atom_site_label
_atom_site_type_symbol
_atom_site_fract_x
_atom_site_fract_y
_atom_site_fract_z
_atom_site_occupancy
Fe1 Fe 0.0000 0.0000 0.0000 1
Ir1 Ir 0.0000 0.5000 0.5000 1
N1 N 0.5000 0.5000 0.5000 1
```

Values from the calculation:
Formation energy (no corrections)   0.862 eV/atom
Offset from the most stable computed form   0.00 eV/f.u.